VASP calculation (PBEsol) on crystalline Li2V2O5F2 at its relaxed geometry.

Unit cell a=5.5425 b=5.9484 c=9.9143 alpha=75.09 beta=85.43 gamma=64.65
Space group P-1 (No. 2)
One atom of each set of equivalent atoms:
Li 0.0788 0.1953 0.1049 x2
Li 0.0961 0.7427 0.5890 x2
V 0.4123 0.2463 0.4087 x2
V 0.4815 0.3951 0.8938 x2
O 0.2552 0.4636 0.4919 x2
O 0.2625 0.2784 0.9341 x2
O 0.2891 0.9837 0.4929 x2
O 0.2992 0.6932 0.9608 x2
O 0.4101 0.6170 0.7193 x2
F 0.1591 0.3077 0.2680 x2
F 0.2508 0.8490 0.1820 x2

Summary:
excess energy over the best structure of this formula in the dataset: 0.018 eV/atom
V: 285 Å³/cell
formation energy without anion corrections: -2.450 eV per atom